This record from Alexandria via LeMat-Bulk describes crystalline Sm4Ga2Hg5 at its relaxed geometry. The functional is GGA-PBE.

a b c (Å): 3.848 7.855 9.390
angles (deg): 91.02 90.00 90.00
Atoms (fractional coordinates):
Hg  0.000  0.433  0.663
Sm  0.500  0.802  0.140
Hg  0.000  0.567  0.337
Ga  0.000  0.064  0.625
Hg  0.000  0.145  0.133
Sm  0.500  0.198  0.860
Hg  0.000  0.500  0.000
Sm  0.500  0.248  0.413
Ga  0.000  0.936  0.375
Sm  0.500  0.752  0.587
Hg  0.000  0.855  0.867

Output
DFT total energy = -2.859 eV/atom
Size of the total moment = 0.00 μB/atom

***

This record from Alexandria via LeMat-Bulk describes crystalline Sm5GaHg4 at its relaxed geometry. The functional is GGA-PBE.

a b c (Å): 3.751 3.751 18.997
angles (deg): 90.00 90.00 90.00
Each line ends with the local moment (μB).
Atoms (fractional coordinates):
Hg  0.000  0.000  0.602  0.02
Sm  0.500  0.500  0.703  0.17
Hg  0.000  0.000  0.194  0.01
Sm  0.500  0.500  0.092  0.05
Hg  0.000  0.000  0.806  0.01
Sm  0.500  0.500  0.297  0.17
Sm  0.500  0.500  0.500  0.17
Sm  0.500  0.500  0.908  0.05
Hg  0.000  0.000  0.398  0.02
Ga  0.000  0.000  0.000  0.00

Output
DFT total energy = -3.272 eV/atom
Size of the total moment = 0.12 μB/atom

***

This record from Alexandria via LeMat-Bulk describes crystalline Sm3Ga3Hg at its relaxed geometry. The functional is GGA-PBE.

a b c (Å): 4.528 6.010 13.895
angles (deg): 84.19 80.62 67.87
Each line ends with the local moment (μB).
Atoms (fractional coordinates):
Sm  0.529  0.318  0.624  0.02
Sm  0.606  0.713  0.075  0.05
Sm  0.736  0.747  0.781  0.05
Ga  0.022  0.180  0.776  0.00
Ga  0.122  0.302  0.454  0.00
Ga  0.108  0.858  0.926  0.00
Hg  0.242  0.908  0.608  0.00
Ga  0.978  0.820  0.224  0.00
Ga  0.892  0.142  0.074  0.00
Hg  0.758  0.092  0.392  0.00
Sm  0.471  0.682  0.376  0.02
Sm  0.394  0.287  0.925  0.05
Ga  0.878  0.698  0.546  0.00
Sm  0.264  0.253  0.219  0.05

Output
DFT total energy = -3.936 eV/atom
Size of the total moment = 0.05 μB/atom

***

This record from Alexandria via LeMat-Bulk describes crystalline Sm2GaHg3 at its relaxed geometry. The functional is GGA-PBE.

a b c (Å): 6.042 6.042 9.689
angles (deg): 113.44 113.44 73.99
Atoms (fractional coordinates):
Hg  0.343  0.343  0.171
Hg  0.829  0.829  0.658
Hg  0.828  0.828  0.171
Hg  0.657  0.657  0.829
Hg  0.171  0.171  0.342
Ga  0.666  0.666  0.333
Sm  0.250  0.750  0.500
Sm  0.244  0.756  0.000
Ga  0.334  0.334  0.667
Sm  0.756  0.244  0.000
Hg  0.172  0.172  0.829
Sm  0.750  0.250  0.500

Output
DFT total energy = -2.685 eV/atom
E above lowest polymorph = 0.00 kcal/mol of atoms
Size of the total moment = 0.00 μB/atom

***

This record from Alexandria via LeMat-Bulk describes crystalline SmGaHg2 at its relaxed geometry. The functional is GGA-PBE.

a b c (Å): 4.463 9.664 9.077
angles (deg): 90.00 104.23 90.00
Atoms (fractional coordinates):
Hg  0.697  0.595  0.394
Hg  0.896  0.250  0.792
Hg  0.948  0.750  0.896
Sm  0.500  0.500  0.000
Hg  0.697  0.905  0.394
Ga  0.860  0.530  0.720
Hg  0.104  0.750  0.208
Sm  0.500  0.000  0.000
Hg  0.303  0.095  0.606
Ga  0.860  0.970  0.720
Hg  0.052  0.250  0.104
Hg  0.303  0.405  0.606
Ga  0.140  0.030  0.280
Sm  0.696  0.250  0.393
Ga  0.140  0.470  0.280
Sm  0.304  0.750  0.607

Output
DFT total energy = -2.441 eV/atom
Size of the total moment = 0.00 μB/atom

***

This record from Alexandria via LeMat-Bulk describes crystalline Sm4GaHg at its relaxed geometry. The functional is GGA-PBE.

a b c (Å): 3.675 6.398 8.846
angles (deg): 117.23 90.00 106.69
Atoms (fractional coordinates):
Ga  0.371  0.741  0.408
Sm  0.867  0.735  0.698
Sm  0.097  0.194  0.435
Sm  0.629  0.258  0.793
Hg  0.137  0.274  0.100
Sm  0.399  0.797  0.066

Output
DFT total energy = -3.877 eV/atom
E above lowest polymorph = 0.00 kcal/mol of atoms
Size of the total moment = 0.00 μB/atom

***

This record from Alexandria via LeMat-Bulk describes crystalline Sm2GaHg at its relaxed geometry. The functional is GGA-PBE.

a b c (Å): 3.649 3.649 7.748
angles (deg): 90.00 90.00 90.00
Atoms (fractional coordinates):
Ga  0.500  0.500  0.000
Sm  0.000  0.000  0.235
Hg  0.500  0.500  0.500
Sm  0.000  0.000  0.765

Output
DFT total energy = -3.715 eV/atom
Size of the total moment = 0.00 μB/atom

***

This record from Alexandria via LeMat-Bulk describes crystalline Sm4GaHg at its relaxed geometry. The functional is GGA-PBE.

a b c (Å): 5.248 6.460 11.667
angles (deg): 90.00 103.00 90.00
Atoms (fractional coordinates):
Sm  0.565  0.355  0.130
Hg  0.432  0.351  0.865
Sm  0.307  0.573  0.615
Sm  0.693  0.073  0.385
Ga  0.163  0.313  0.326
Sm  0.127  0.790  0.254
Ga  0.837  0.813  0.674
Sm  0.873  0.290  0.746
Hg  0.568  0.851  0.135
Sm  0.716  0.552  0.432
Sm  0.435  0.855  0.870
Sm  0.284  0.052  0.568

Output
DFT total energy = -3.845 eV/atom
E above lowest polymorph = 0.73 kcal/mol of atoms
Size of the total moment = 0.00 μB/atom

***

| no. | energy of formation (eV per atom) |
| --- | --- |
| 1 | -0.455 |
| 2 | -0.489 |
| 3 | -0.573 |
| 4 | -0.457 |
| 5 | -0.353 |
| 6 | -0.176 |
| 7 | -0.523 |
| 8 | -0.144 |